Ac2GdRu after structural relaxation, computed with PBE.

```
data_Ac2GdRu
_chemical_formula_sum 'Ac2 Gd1 Ru1'
_cell_length_a 3.7319
_cell_length_b 3.7319
_cell_length_c 9.2987
_cell_angle_alpha 90.00
_cell_angle_beta 90.00
_cell_angle_gamma 90.00
_space_group_name_H-M_alt 'P 4/m m m'
_space_group_IT_number 123
_space_group_name_Hall '-P 4 2'
loop_
_atom_site_label
_atom_site_type_symbol
_atom_site_fract_x
_atom_site_fract_y
_atom_site_fract_z
Ac1 Ac 0.0000 0.0000 0.1925
Gd1 Gd 0.5000 0.5000 0.5000
Ru1 Ru 0.5000 0.5000 0.0000
```

Values from the calculation:
- formation energy from the elements (meV per atom) = 65
- DOS(E_F) (states/eV/cell) = 6.884
- E above lowest polymorph (meV per atom) = 20
- spin magnetization (μB/f.u.) = 8.84

Tb12Nd6Ho after structural relaxation, computed with PBE.

```
data_Tb12Nd6Ho
_chemical_formula_sum 'Tb36 Nd18 Ho3'
_cell_length_a 16.7228
_cell_length_b 16.7228
_cell_length_c 8.1803
_cell_angle_alpha 90.00
_cell_angle_beta 90.00
_cell_angle_gamma 120.00
_space_group_name_H-M_alt 'R -3 m'
_space_group_IT_number 166
_space_group_name_Hall '-R 3 2"'
loop_
_atom_site_label
_atom_site_type_symbol
_atom_site_fract_x
_atom_site_fract_y
_atom_site_fract_z
Tb1 Tb 0.0000 0.3812 0.0000
Tb2 Tb 0.1085 0.2169 0.6226
Nd1 Nd 0.1020 0.2039 0.0828
Ho1 Ho 0.0000 0.0000 0.5000
```

Values from the calculation:
- formation energy from the elements (meV per atom) = 335
- DOS(E_F) (states/eV/cell) = 81.391
- E above lowest polymorph (meV per atom) = 211
- spin magnetization (μB/f.u.) = 0.00

Tb4Ga2Cl5 after structural relaxation, computed with PBE.

```
data_Tb4Ga2Cl5
_chemical_formula_sum 'Tb8 Ga4 Cl10'
_cell_length_a 23.3023
_cell_length_b 3.8184
_cell_length_c 8.1364
_cell_angle_alpha 90.00
_cell_angle_beta 103.49
_cell_angle_gamma 90.00
_space_group_name_H-M_alt 'C 1 2/m 1'
_space_group_IT_number 12
loop_
_space_group_symop_operation_xyz
'x,y,z'
'-x,-y,-z'
'-x,y,-z'
'x,-y,z'
'x+1/2,y+1/2,z'
'-x+1/2,-y+1/2,-z'
'-x+1/2,y+1/2,-z'
'x+1/2,-y+1/2,z'
loop_
_atom_site_label
_atom_site_type_symbol
_atom_site_fract_x
_atom_site_fract_y
_atom_site_fract_z
Tb1 Tb 0.0151 0.0000 0.2728
Tb2 Tb 0.1621 0.5000 0.4617
Ga1 Ga 0.0561 0.5000 0.5628
Cl1 Cl 0.0000 0.5000 0.0000
Cl2 Cl 0.1319 0.0000 0.2186
Cl3 Cl 0.2274 0.0000 0.6627
```

Values from the calculation:
- DOS(E_F) (states/eV/cell) = 7.095
- spin magnetization (μB/f.u.) = 0.00
- ΔE_f (raw) (eV per atom) = -1.4369

ZrTaRe2 after structural relaxation, computed with PBE.

```
data_ZrTaRe2
_chemical_formula_sum 'Zr1 Ta1 Re2'
_cell_length_a 2.9361
_cell_length_b 4.4539
_cell_length_c 5.3974
_cell_angle_alpha 90.00
_cell_angle_beta 90.00
_cell_angle_gamma 90.00
_space_group_name_H-M_alt 'P m m 2'
_space_group_IT_number 25
loop_
_space_group_symop_operation_xyz
'x,y,z'
'-x,-y,z'
'-x,y,z'
'x,-y,z'
loop_
_atom_site_label
_atom_site_type_symbol
_atom_site_fract_x
_atom_site_fract_y
_atom_site_fract_z
Zr1 Zr 0.0000 0.0000 0.0000
Ta1 Ta 0.5000 0.5000 0.7016
Re1 Re 0.0000 0.0000 0.4968
Re2 Re 0.5000 0.5000 0.2146
```

Values from the calculation:
- formation energy from the elements (meV per atom) = 174
- DOS(E_F) (states/eV/cell) = 3.290
- spin magnetization (μB/f.u.) = 0.00